A geometry-optimized Rb3YAg2Cl9 structure, computed with PBE.

Geometry as POSCAR:
```
Rb3YAg2Cl9
1.0
7.475 0.000 0.000
-3.738 6.474 0.000
0.000 0.000 9.281
Cl Ag Y Rb
9 2 1 3
direct
0.834 0.669 0.665
0.834 0.166 0.665
0.000 0.500 0.000
0.166 0.834 0.335
0.669 0.834 0.335
0.166 0.331 0.335
0.331 0.166 0.665
0.500 0.500 0.000
0.500 0.000 0.000
0.333 0.667 0.155
0.667 0.333 0.845
0.000 0.000 0.500
0.667 0.333 0.307
0.333 0.667 0.693
0.000 0.000 0.000
```

M_tot   0.35 μB/f.u.
Space group   No. 164
Formation energy (no corrections)   -1.54 eV/atom